{
  "formula": "HfMgNO",
  "functional": "PBE",
  "state": "optimized geometry",
  "total_energy_ev_per_atom": -7.85,
  "lattice_angstrom": [[5.921, 0.000, 0.000], [0.000, 6.771, 0.000], [0.000, 0.000, 5.498]],
  "species": ["Hf", "Hf", "Hf", "Hf", "Mg", "Mg", "Mg", "Mg", "N", "N", "N", "N", "O", "O", "O", "O"],
  "fractional_positions": [[0.074, 0.115, 0.000], [0.426, 0.115, 0.500], [0.574, 0.885, 0.000], [0.926, 0.885, 0.500], [0.098, 0.609, 0.986], [0.402, 0.609, 0.486], [0.598, 0.391, 0.986], [0.902, 0.391, 0.486], [0.072, 0.641, 0.609], [0.428, 0.641, 0.109], [0.572, 0.359, 0.609], [0.928, 0.359, 0.109], [0.090, 0.156, 0.626], [0.410, 0.156, 0.126], [0.590, 0.844, 0.626], [0.910, 0.844, 0.126]]
}